A plane-wave DFT calculation with PBE was carried out for a relaxed ScTcAsO crystal.

Values from the calculation:
calculated volume: 149 Å³/cell

abc: 4.3227 4.3227 7.9901
angles: 90.00 90.00 90.00
Last column: nearest neighbours and their distance in Å.
Positions (direct):
Sc 0.2500 0.7500 0.0000  4 As 2.63
Sc 0.7500 0.2500 0.0000  4 As 2.63
Tc 0.2500 0.2500 0.4987  4 O 2.16
Tc 0.7500 0.7500 0.5013  4 O 2.16
As 0.2500 0.2500 0.8123  1 Tc 2.51, 4 Sc 2.63
As 0.7500 0.7500 0.1877  1 Tc 2.51, 4 Sc 2.63
O 0.2500 0.7500 0.5000  4 Tc 2.16
O 0.7500 0.2500 0.5000  4 Tc 2.16

A plane-wave DFT calculation with PBE was carried out for a relaxed ScTcAsO crystal.

Values from the calculation:
calculated volume: 126 Å³/cell

abc: 4.0271 5.7386 5.4434
angles: 90.00 90.00 90.00
Last column: nearest neighbours and their distance in Å.
Positions (direct):
Sc 0.0000 0.2077 0.0000  2 O 2.01
Sc 0.0000 0.7923 0.5000  2 O 2.01
Tc 0.5000 0.4969 0.7552  2 O 2.15
Tc 0.5000 0.5031 0.2552  2 O 2.15
As 0.0000 0.2885 0.5019  4 Tc 2.72, 4 Sc 2.75-2.89
As 0.0000 0.7115 0.0019  4 Tc 2.72, 4 Sc 2.75-2.89
O 0.5000 0.2096 0.0095  2 Sc 2.01, 2 Tc 2.15
O 0.5000 0.7904 0.5095  2 Sc 2.01, 2 Tc 2.15

A plane-wave DFT calculation with PBE was carried out for a relaxed ScTcAsO crystal.

Values from the calculation:
calculated volume: 115 Å³/cell

abc: 4.2385 4.2385 6.4173
angles: 90.00 90.00 90.00
Last column: nearest neighbours and their distance in Å.
Positions (direct):
Sc 0.2500 0.7500 0.0000  4 As 2.71, 4 Sc 3.00
Sc 0.7500 0.2500 0.0000  4 As 2.71, 4 Sc 3.00
Tc 0.2500 0.2500 0.3513  4 O 2.32, 1 As 2.47
Tc 0.7500 0.7500 0.6487  4 O 2.32, 1 As 2.47
As 0.2500 0.2500 0.7364  1 Tc 2.47, 4 O 2.61, 4 Sc 2.71
As 0.7500 0.7500 0.2636  1 Tc 2.47, 4 O 2.61, 4 Sc 2.71
O 0.2500 0.7500 0.5000  4 Tc 2.32
O 0.7500 0.2500 0.5000  4 Tc 2.32

A plane-wave DFT calculation with PBE was carried out for a relaxed TmScAsO crystal.

Values from the calculation:
calculated volume: 152 Å³/cell

abc: 4.3068 4.3068 8.1904
angles: 90.00 90.00 90.00
Last column: nearest neighbours and their distance in Å.
Positions (direct):
Tm 0.2500 0.7500 0.0000  4 As 2.77, 4 Tm 3.05
Tm 0.7500 0.2500 0.0000  4 As 2.77, 4 Tm 3.05
Sc 0.2500 0.2500 0.4324  4 O 2.22
Sc 0.7500 0.7500 0.5676  4 O 2.22
As 0.2500 0.2500 0.7879  4 Tm 2.77, 1 Sc 2.91
As 0.7500 0.7500 0.2121  4 Tm 2.77, 1 Sc 2.91
O 0.2500 0.7500 0.5000  4 Sc 2.22
O 0.7500 0.2500 0.5000  4 Sc 2.22

A plane-wave DFT calculation with PBE was carried out for a relaxed TmScAsO crystal.

Values from the calculation:
calculated volume: 167 Å³/cell

abc: 4.0963 7.0015 5.8270
angles: 90.00 90.00 90.00
Last column: nearest neighbours and their distance in Å.
Positions (direct):
Tm 0.0000 0.2103 0.0000  2 O 2.24
Tm 0.0000 0.7897 0.5000  2 O 2.24
Sc 0.5000 0.3982 0.6008  2 O 2.08
Sc 0.5000 0.6018 0.1008  2 O 2.08
As 0.0000 0.1866 0.4908  2 Sc 2.61, 2 Tm 2.78-2.86
As 0.0000 0.8134 0.9908  2 Sc 2.61, 2 Tm 2.78-2.86
O 0.5000 0.3329 0.9487  2 Sc 2.08, 2 Tm 2.24
O 0.5000 0.6671 0.4487  2 Sc 2.08, 2 Tm 2.24

A plane-wave DFT calculation with PBE was carried out for a relaxed TmScAsO crystal.

Values from the calculation:
calculated volume: 150 Å³/cell

abc: 4.2726 4.2726 8.2290
angles: 90.00 90.00 90.00
Last column: nearest neighbours and their distance in Å.
Positions (direct):
Tm 0.2500 0.7500 0.0000  4 As 2.76, 4 Tm 3.02
Tm 0.7500 0.2500 0.0000  4 As 2.76, 4 Tm 3.02
Sc 0.2500 0.2500 0.4265  4 O 2.22
Sc 0.7500 0.7500 0.5735  4 O 2.22
As 0.2500 0.2500 0.7867  4 Tm 2.76, 1 Sc 2.96
As 0.7500 0.7500 0.2133  4 Tm 2.76, 1 Sc 2.96
O 0.2500 0.7500 0.5000  4 Sc 2.22
O 0.7500 0.2500 0.5000  4 Sc 2.22

A plane-wave DFT calculation with PBE was carried out for a relaxed TmScAsO crystal.

Values from the calculation:
calculated volume: 147 Å³/cell

abc: 4.1288 4.1288 8.6052
angles: 90.00 90.00 90.00
Last column: nearest neighbours and their distance in Å.
Positions (direct):
Tm 0.2500 0.2500 0.1090  4 O 2.27
Tm 0.7500 0.7500 0.8910  4 O 2.27
Sc 0.2500 0.7500 0.5000  4 As 2.66, 4 Sc 2.92
Sc 0.7500 0.2500 0.5000  4 As 2.66, 4 Sc 2.92
As 0.2500 0.2500 0.6944  4 Sc 2.66
As 0.7500 0.7500 0.3056  4 Sc 2.66
O 0.2500 0.7500 0.0000  4 Tm 2.27
O 0.7500 0.2500 0.0000  4 Tm 2.27

A plane-wave DFT calculation with PBE was carried out for a relaxed TmScAsO crystal.

Values from the calculation:
calculated volume: 156 Å³/cell

abc: 3.9353 5.8434 6.7671
angles: 90.00 90.00 90.00
Last column: nearest neighbours and their distance in Å.
Positions (direct):
Tm 0.0000 0.0642 0.0000  2 O 2.25-2.35
Tm 0.0000 0.9358 0.5000  2 O 2.25-2.35
Sc 0.5000 0.3600 0.3305  2 O 2.08
Sc 0.5000 0.6400 0.8305  2 O 2.08
As 0.5000 0.1979 0.7124  2 Sc 2.70-2.75, 4 Tm 2.88
As 0.5000 0.8021 0.2124  2 Sc 2.70-2.75, 4 Tm 2.88
O 0.0000 0.2554 0.2890  2 Sc 2.08, 1 Tm 2.25
O 0.0000 0.7446 0.7890  2 Sc 2.08, 1 Tm 2.25

no.,energy relative to the lowest polymorph listed for this composition (meV/atom)
1,1291
2,278
3,1326
4,426
5,88
6,429
7,41
8,0